Below is a geometry-optimized InGa2AsW structure, with properties calculated at the PBE level.

Output
V ... 121.2 Å³/cell
ΔE_f ... 4.746 eV/f.u.
Theoretical density ... 7.0 g cm⁻³
N(E_F) ... 3.488 states/eV/cell

Lattice parameters (Å, degrees): 4.9982 4.9982 4.8498 90.00 90.00 90.00
Positions (direct):
In (0.0000, 0.0000, 0.0000)
Ga (0.0000, 0.5000, 0.5000)
Ga (0.5000, 0.0000, 0.5000)
As (0.5000, 0.5000, 0.5000)
W (0.5000, 0.5000, 0.0000)

Below is a geometry-optimized Ga3AsIr structure, with properties calculated at the PBE level.

Output
V ... 111.0 Å³/cell
ΔE_f ... 0.450 eV/f.u.
Theoretical density ... 7.1 g cm⁻³
N(E_F) ... 4.910 states/eV/cell

Lattice parameters (Å, degrees): 4.8063 4.8063 4.8063 90.00 90.00 90.00
Positions (direct):
Ga (0.0000, 0.0000, 0.5000)
Ga (0.0000, 0.5000, 0.0000)
Ga (0.5000, 0.0000, 0.0000)
As (0.5000, 0.5000, 0.5000)
Ir (0.0000, 0.0000, 0.0000)

Below is a geometry-optimized Ga3AsIr structure, with properties calculated at the PBE level.

Output
V ... 110.6 Å³/cell
ΔE_f ... 4.905 eV/f.u.
Theoretical density ... 7.2 g cm⁻³
N(E_F) ... 5.715 states/eV/cell

Lattice parameters (Å, degrees): 4.7997 4.7997 4.7997 90.00 90.00 90.00
Positions (direct):
Ga (0.0000, 0.0000, 0.5000)
Ga (0.0000, 0.5000, 0.0000)
Ga (0.5000, 0.0000, 0.0000)
As (0.0000, 0.0000, 0.0000)
Ir (0.5000, 0.5000, 0.5000)

Below is a geometry-optimized Ga2AsIr structure, with properties calculated at the PBE level.

Output
V ... 185.3 Å³/cell
ΔE_f ... 0.554 eV/f.u.
Theoretical density ... 7.3 g cm⁻³
N(E_F) ... 0.000 states/eV/cell

Lattice parameters (Å, degrees): 6.9890 6.9890 6.9890 131.90 131.90 70.39
Positions (direct):
Ga (0.1136, 0.6250, 0.9886)
Ga (0.3750, 0.3636, 0.4886)
Ga (0.6364, 0.1250, 0.0114)
Ga (0.8750, 0.8864, 0.5114)
As (0.2500, 0.7500, 0.5000)
As (0.5000, 0.5000, 0.0000)
Ir (0.0000, 0.0000, 0.0000)
Ir (0.7500, 0.2500, 0.5000)

Below is a geometry-optimized La2GaAs3Ir4 structure, with properties calculated at the PBE level.

Output
V ... 189.3 Å³/cell
ΔE_f ... -7.919 eV/f.u.
Theoretical density ... 11.8 g cm⁻³
N(E_F) ... 5.799 states/eV/cell

Lattice parameters (Å, degrees): 4.2690 4.2690 10.3886 90.00 90.00 90.00
Positions (direct):
La (0.0000, 0.5000, 0.2458)
La (0.5000, 0.0000, 0.7542)
Ga (0.5000, 0.5000, 0.0000)
As (0.0000, 0.0000, 0.0000)
As (0.0000, 0.5000, 0.6362)
As (0.5000, 0.0000, 0.3638)
Ir (0.0000, 0.0000, 0.5000)
Ir (0.0000, 0.5000, 0.8712)
Ir (0.5000, 0.0000, 0.1288)
Ir (0.5000, 0.5000, 0.5000)

Below is a geometry-optimized LiGaAsIr structure, with properties calculated at the PBE level.

Output
V ... 58.6 Å³/cell
ΔE_f ... -1.380 eV/f.u.
Theoretical density ... 9.7 g cm⁻³
N(E_F) ... 1.926 states/eV/cell

Lattice parameters (Å, degrees): 4.3591 4.3591 4.3591 60.00 60.00 60.00
Positions (direct):
Li (0.0000, 0.0000, 0.0000)
Ga (0.2500, 0.2500, 0.2500)
As (0.7500, 0.7500, 0.7500)
Ir (0.5000, 0.5000, 0.5000)

Below is a geometry-optimized Ga2Ni7As2Ir structure, with properties calculated at the PBE level.

Output
V ... 167.0 Å³/cell
ΔE_f ... -0.503 eV/f.u.
Theoretical density ... 8.9 g cm⁻³
N(E_F) ... 10.925 states/eV/cell

Lattice parameters (Å, degrees): 3.4890 3.4890 13.9229 96.98 96.98 89.99
Positions (direct):
Ga (0.1296, 0.1296, 0.2633)
Ga (0.8704, 0.8704, 0.7367)
Ni (0.0000, 0.0000, 0.0000)
Ni (0.0657, 0.5660, 0.1357)
Ni (0.2222, 0.2222, 0.4448)
Ni (0.4340, 0.9343, 0.8643)
Ni (0.5660, 0.0657, 0.1357)
Ni (0.7778, 0.7778, 0.5552)
Ni (0.9343, 0.4340, 0.8643)
As (0.3058, 0.3058, 0.6131)
As (0.6942, 0.6942, 0.3869)
Ir (0.5000, 0.5000, 0.0000)

Below is a geometry-optimized GaAs2IrO structure, with properties calculated at the PBE level.

Output
V ... 76.7 Å³/cell
Theoretical density ... 9.3 g cm⁻³
Uncorrected formation energy ... 1.065 eV/f.u.
N(E_F) ... 1.837 states/eV/cell

Lattice parameters (Å, degrees): 4.2662 4.2662 4.2148 90.00 90.00 90.00
Positions (direct):
Ga (0.0000, 0.0000, 0.0000)
As (0.0000, 0.5000, 0.5000)
As (0.5000, 0.0000, 0.5000)
Ir (0.5000, 0.5000, 0.0000)
O (0.0000, 0.0000, 0.5000)

Quick rundown of total DFT energy (no corrections), same order as above: -21.649, -22.141, -17.686, -38.021, -70.193, -19.831, -65.186, -25.080 eV per cell